(1)
Entry from Alexandria via LeMat-Bulk: a crystal of RbAlSi3O8 relaxed with PBEsol (meta-GGA SCAN).

```
RbAlSi3O8
1.0
4.428 -6.631 0.000
4.428 6.631 0.000
-3.146 0.000 6.476
Rb Al Si O
2 2 6 16
Cartesian
0.672 0.000 2.354 Rb
5.038 0.000 4.122 Rb
-0.726 -1.458 5.469 Al
6.436 -1.458 1.007 Al
-0.685 1.714 5.473 Si
3.472 2.659 1.807 Si
2.238 2.659 4.669 Si
6.396 1.714 1.003 Si
3.420 -2.379 1.766 Si
2.290 -2.379 4.710 Si
-1.068 0.209 5.062 O
3.364 4.249 1.635 O
0.687 2.153 4.695 O
2.645 1.862 0.625 O
2.347 4.249 4.841 O
2.855 2.109 3.238 O
2.512 -1.550 0.724 O
0.730 -2.013 4.713 O
5.024 2.153 1.781 O
3.065 1.862 5.852 O
2.855 -1.957 3.238 O
3.214 -3.995 1.519 O
3.198 -1.550 5.753 O
4.980 -2.013 1.763 O
6.778 0.209 1.415 O
2.496 -3.995 4.957 O
```

Values from the calculation:
Space group: C2
E_form (uncorrected) (eV/atom): -3.072
Crystal system: monoclinic
Relative energy among the computed polymorphs (meV/atom): 5
Spin magnetization (μB per cell): 0.00

***

(2)
Entry from Alexandria via LeMat-Bulk: a crystal of CuNiIr relaxed with PBEsol (meta-GGA SCAN).

```
CuNiIr
1.0
4.072 0.000 0.000
-2.036 3.527 0.000
0.000 0.000 2.533
Cu Ni Ir
1 1 1
Cartesian
0.000 0.000 0.000 Cu
2.036 1.176 0.015 Ni
0.000 2.351 1.277 Ir
```

Values from the calculation:
Calculated formation energy (kJ/mol of atoms): 18.4
Space group: P3m1
Crystal system: trigonal
Relative energy among the computed polymorphs (meV/atom): 144
Spin magnetization (μB per cell): 1.67

***

(3)
Entry from Alexandria via LeMat-Bulk: a crystal of LaTl2Ag relaxed with PBEsol (meta-GGA SCAN).

```
LaTl2Ag
1.0
7.375 0.000 0.000
0.000 7.375 0.000
0.000 0.000 7.375
La Tl Ag
4 8 4
Cartesian
0.000 0.000 0.000 La
0.000 3.687 3.687 La
3.687 0.000 3.687 La
3.687 3.687 0.000 La
0.000 0.000 3.687 Tl
0.000 3.687 0.000 Tl
1.844 1.844 5.531 Tl
1.844 5.531 1.844 Tl
3.687 0.000 0.000 Tl
3.687 3.687 3.687 Tl
5.531 1.844 1.844 Tl
5.531 5.531 5.531 Tl
1.844 1.844 1.844 Ag
1.844 5.531 5.531 Ag
5.531 1.844 5.531 Ag
5.531 5.531 1.844 Ag
```

Values from the calculation:
Calculated formation energy (kJ/mol of atoms): -29.9
Space group: F-43m
Crystal system: cubic
Spin magnetization (μB per cell): 0.00

***

(4)
Entry from Alexandria via LeMat-Bulk: a crystal of CdIn2Ir relaxed with PBEsol (meta-GGA SCAN).

```
CdIn2Ir
1.0
3.189 0.000 0.000
0.000 3.983 0.000
0.000 0.000 5.893
Cd In Ir
1 2 1
Cartesian
0.000 0.000 0.000 Cd
1.595 1.991 1.562 In
1.595 1.991 4.331 In
0.000 0.000 2.947 Ir
```

Values from the calculation:
Calculated formation energy (kJ/mol of atoms): 7.9
Space group: Pmmm
Crystal system: orthorhombic
Spin magnetization (μB per cell): 0.00

***

(5)
Entry from Alexandria via LeMat-Bulk: a crystal of AlFe4 relaxed with PBEsol (meta-GGA SCAN).

```
AlFe4
1.0
5.470 0.000 0.000
0.000 5.470 0.000
0.000 0.000 3.808
Al Fe
2 8
Cartesian
0.000 0.000 0.000 Al
2.735 2.735 1.904 Al
0.496 1.639 1.904 Fe
1.096 3.231 0.000 Fe
1.639 4.974 1.904 Fe
2.239 1.096 0.000 Fe
3.231 4.374 0.000 Fe
3.831 0.496 1.904 Fe
4.374 2.239 0.000 Fe
4.974 3.831 1.904 Fe
```

Values from the calculation:
Calculated formation energy (kJ/mol of atoms): -14.3
Space group: I4/m
Crystal system: tetragonal
Relative energy among the computed polymorphs (meV/atom): 0
Spin magnetization (μB per cell): 19.36

***

(6)
Entry from Alexandria via LeMat-Bulk: a crystal of RbBeSbTe2 relaxed with PBEsol (meta-GGA SCAN).

```
RbBeSbTe2
1.0
6.021 0.000 0.000
0.000 6.021 0.000
0.000 0.000 5.958
Rb Be Sb Te
1 1 1 2
Cartesian
0.000 0.000 0.000 Rb
3.011 3.011 2.979 Be
0.000 0.000 2.979 Sb
0.000 3.011 0.000 Te
3.011 0.000 0.000 Te
```

Values from the calculation:
Space group: P4/mmm
E_form (uncorrected) (eV/atom): 1.701
Crystal system: tetragonal
Spin magnetization (μB per cell): 1.03

***

(7)
Entry from Alexandria via LeMat-Bulk: a crystal of Li2ReP relaxed with PBEsol (meta-GGA SCAN).

```
Li2ReP
1.0
3.072 0.000 0.000
0.000 3.072 0.000
0.000 0.000 5.599
Li Re P
2 1 1
Cartesian
0.000 0.000 0.000 Li
1.536 1.536 1.425 Li
1.536 1.536 4.043 Re
0.000 0.000 3.000 P
```

Values from the calculation:
Calculated formation energy (kJ/mol of atoms): -20.0
Space group: P4mm
Crystal system: tetragonal
Spin magnetization (μB per cell): 0.00

***

(8)
Entry from Alexandria via LeMat-Bulk: a crystal of Sc2SbAs relaxed with PBEsol (meta-GGA SCAN).

```
Sc2SbAs
1.0
3.116 0.000 0.000
0.000 3.116 0.000
0.000 0.000 9.433
Sc Sb As
2 1 1
Cartesian
0.000 0.000 0.000 Sc
1.558 1.558 2.568 Sc
1.558 1.558 7.254 Sb
0.000 0.000 4.305 As
```

Values from the calculation:
Space group: P4mm
E_form (uncorrected) (eV/atom): -0.360
Crystal system: tetragonal
Spin magnetization (μB per cell): 0.00

***

(9)
Entry from Alexandria via LeMat-Bulk: a crystal of ZrHgNO2 relaxed with PBEsol (meta-GGA SCAN).

```
ZrHgNO2
1.0
4.063 0.000 0.000
0.000 4.063 0.000
0.000 0.000 4.149
Zr Hg N O
1 1 1 2
Cartesian
0.000 0.000 0.000 Zr
2.032 2.032 2.075 Hg
2.032 2.032 0.000 N
0.000 2.032 2.075 O
2.032 0.000 2.075 O
```

Values from the calculation:
Space group: P4/mmm
E_form (uncorrected) (eV/atom): 0.287
Crystal system: tetragonal
Spin magnetization (μB per cell): 0.00

***

(10)
Entry from Alexandria via LeMat-Bulk: a crystal of SbCl5 relaxed with PBEsol (meta-GGA SCAN).

```
SbCl5
1.0
7.556 0.000 0.000
-3.778 6.544 0.000
0.000 0.000 7.968
Sb Cl
2 10
Cartesian
0.000 4.363 1.992 Sb
3.778 2.181 5.976 Sb
0.000 2.048 1.992 Cl
-2.004 5.520 1.992 Cl
1.774 1.024 5.976 Cl
0.000 4.363 4.353 Cl
0.000 4.363 7.599 Cl
3.778 2.181 0.369 Cl
3.778 2.181 3.615 Cl
2.004 5.520 1.992 Cl
5.783 1.024 5.976 Cl
3.778 4.496 5.976 Cl
```

Values from the calculation:
Space group: P6_3/mmc
E_form (uncorrected) (eV/atom): -0.685
Crystal system: hexagonal
Spin magnetization (μB per cell): 0.00

***

(11)
Entry from Alexandria via LeMat-Bulk: a crystal of BeTeSe relaxed with PBEsol (meta-GGA SCAN).

```
BeTeSe
1.0
3.466 0.000 0.000
-1.733 3.001 0.000
0.000 0.000 5.831
Be Te Se
1 1 1
Cartesian
0.000 0.000 0.000 Be
1.733 1.000 2.104 Te
0.000 2.001 4.968 Se
```

Values from the calculation:
Space group: P3m1
E_form (uncorrected) (eV/atom): -0.087
Crystal system: trigonal
Relative energy among the computed polymorphs (meV/atom): 91
Spin magnetization (μB per cell): 0.15

***

(12)
Entry from Alexandria via LeMat-Bulk: a crystal of CeGaPd2 relaxed with PBEsol (meta-GGA SCAN).

```
CeGaPd2
1.0
7.481 0.000 0.000
0.000 6.920 0.000
0.000 0.000 5.663
Ce Ga Pd
4 4 8
Cartesian
0.285 1.730 0.878 Ce
3.456 5.190 3.709 Ce
4.026 1.730 1.954 Ce
7.196 5.190 4.786 Ce
0.848 5.190 1.937 Ga
2.893 1.730 4.769 Ga
4.589 5.190 0.894 Ga
6.633 1.730 3.726 Ga
1.356 0.349 3.310 Pd
1.356 3.111 3.310 Pd
2.384 3.808 0.479 Pd
2.384 6.571 0.479 Pd
5.097 0.349 5.185 Pd
5.097 3.111 5.185 Pd
6.125 3.808 2.353 Pd
6.125 6.571 2.353 Pd
```

Values from the calculation:
Calculated formation energy (kJ/mol of atoms): -84.1
Space group: Pnma
Crystal system: orthorhombic
Spin magnetization (μB per cell): 3.17

***

Going through the records in order, we get total DFT energy (no corrections) values of -296.66; -101.90; -881.72; -167.96; -162.02; -128.35; -87.11; -87.36; -119.19; -162.52; -61.94; -519.79 eV per cell.